# HfInIN2

Crystalline HfInIN2 at its relaxed geometry (PBE-GGA, Alexandria).

calculated volume: 20.946 A^3/atom
formation energy from raw total energies: 1.58 eV/atom
raw total energy: -4.6028 eV per atom
energy above the lowest structure with this stoichiometry: 1318 meV/atom

CIF file:
```
data_HfInIN2
_chemical_formula_sum 'Hf1 In1 I1 N2'
_symmetry_space_group_name_H-M 'P 4/m m m'
_symmetry_Int_Tables_number 123
_symmetry_space_group_name_Hall '-P 4 2'
_cell_length_a 4.319
_cell_length_b 4.319
_cell_length_c 5.614
_cell_angle_alpha 90.00
_cell_angle_beta 90.00
_cell_angle_gamma 90.00
loop_
_atom_site_label
_atom_site_type_symbol
_atom_site_fract_x
_atom_site_fract_y
_atom_site_fract_z
Hf1 Hf 0.000 0.000 0.000
In1 In 0.500 0.500 0.500
I1 I 0.500 0.500 0.000
N1 N 0.000 0.500 0.500
```



# NaHfInI6

Crystalline NaHfInI6 at its relaxed geometry (PBE-GGA, Alexandria).

calculated volume: 44.142 A^3/atom
formation energy from raw total energies: -0.87 eV/atom
raw total energy: -3.4604 eV per atom

CIF file:
```
data_NaHfInI6
_chemical_formula_sum 'Na2 Hf2 In2 I12'
_symmetry_space_group_name_H-M 'P -3 1 c'
_symmetry_Int_Tables_number 163
_symmetry_space_group_name_Hall '-P 3 2c'
_cell_length_a 7.9526
_cell_length_b 7.9526
_cell_length_c 14.5071
_cell_angle_alpha 90.00
_cell_angle_beta 90.00
_cell_angle_gamma 120.00
loop_
_atom_site_label
_atom_site_type_symbol
_atom_site_fract_x
_atom_site_fract_y
_atom_site_fract_z
Na1 Na 0.3333 0.6667 0.2500
Hf1 Hf 0.3333 0.6667 0.7500
In1 In 0.0000 0.0000 0.0000
I1 I 0.0343 0.3810 0.6349
```